A relaxed structure of ZrCd4. Source: the Alexandria database, functional PBE.

Calculated values
The value obtained for the formation enthalpy at 0 K is 0.17 eV per atom. Its density of states at the Fermi level is 8.47 states/eV per cell. The mass density is 7.86 Mg/m³.

The structure in CIF format:
```
data_ZrCd4
_chemical_formula_sum 'Zr2 Cd8'
_space_group_name_H-M_alt 'I 4/m m m'
_space_group_IT_number 139
_space_group_name_Hall '-I 4 2'
_cell_length_a 4.1694
_cell_length_b 4.1694
_cell_length_c 13.1431
_cell_angle_alpha 90.00
_cell_angle_beta 90.00
_cell_angle_gamma 90.00
loop_
_atom_site_label
_atom_site_fract_x
_atom_site_fract_y
_atom_site_fract_z
_atom_site_occupancy
Zr1 0.0000 0.0000 0.0000 1
Cd1 0.0000 0.0000 0.3999 1
Cd2 0.0000 0.5000 0.2500 1
```